1.
VASP calculation (PBE) on a relaxed UCuReO6 crystal.

Cell: 5.3732 5.3732 9.0206 Å, 90.00 90.00 120.00°
Last column: nearest neighbours and their distance in Å.
Positions (direct):
1 U 0.3333 0.6667 0.2500  6 O 2.13
2 U 0.6667 0.3333 0.7500  6 O 2.13
3 Cu 0.0000 0.0000 0.0000  6 O 2.22
4 Cu 0.0000 0.0000 0.5000  6 O 2.22
5 Re 0.3333 0.6667 0.7500  6 O 1.98
6 Re 0.6667 0.3333 0.2500  6 O 1.98
7 O 0.0215 0.3581 0.8682  1 Re 1.98, 1 U 2.13, 1 Cu 2.22
8 O 0.0215 0.6634 0.6318  1 Re 1.98, 1 U 2.13, 1 Cu 2.22
9 O 0.3366 0.3581 0.6318  1 Re 1.98, 1 U 2.13, 1 Cu 2.22
10 O 0.3366 0.9785 0.8682  1 Re 1.98, 1 U 2.13, 1 Cu 2.22
11 O 0.3581 0.0215 0.3682  1 Re 1.98, 1 U 2.13, 1 Cu 2.22
12 O 0.3581 0.3366 0.1318  1 Re 1.98, 1 U 2.13, 1 Cu 2.22
13 O 0.6419 0.6634 0.8682  1 Re 1.98, 1 U 2.13, 1 Cu 2.22
14 O 0.6419 0.9785 0.6318  1 Re 1.98, 1 U 2.13, 1 Cu 2.22
15 O 0.6634 0.0215 0.1318  1 Re 1.98, 1 U 2.13, 1 Cu 2.22
16 O 0.6634 0.6419 0.3682  1 Re 1.98, 1 U 2.13, 1 Cu 2.22
17 O 0.9785 0.3366 0.3682  1 Re 1.98, 1 U 2.13, 1 Cu 2.22
18 O 0.9785 0.6419 0.1318  1 Re 1.98, 1 U 2.13, 1 Cu 2.22

Uncorrected formation energy (eV per atom): -1.88



2.
VASP calculation (PBE) on a relaxed Li2ReTe crystal.

Cell: 9.5074 9.5074 9.5074 Å, 17.89 17.89 17.89°
Last column: nearest neighbours and their distance in Å.
Positions (direct):
1 Li 0.2450 0.2450 0.2450  3 Re 2.78, 6 Li 2.96, 3 Te 3.01
2 Li 0.7550 0.7550 0.7550  3 Re 2.78, 6 Li 2.96, 3 Te 3.01
3 Re 0.5000 0.5000 0.5000  6 Li 2.78, 6 Re 2.96
4 Te 0.0000 0.0000 0.0000  6 Te 2.96, 6 Li 3.01

Uncorrected formation energy (eV per atom): 0.31



3.
VASP calculation (PBE) on a relaxed AsPRh crystal.

Cell: 4.1488 4.1488 4.1488 Å, 60.00 60.00 60.00°
Last column: nearest neighbours and their distance in Å.
Positions (direct):
1 As 0.0000 0.0000 0.0000  4 Rh 2.54
2 P 0.5000 0.5000 0.5000  4 Rh 2.54
3 Rh 0.7500 0.7500 0.7500  4 P 2.54, 4 As 2.54

Calculated formation energy (eV per formula unit): -0.77



4.
VASP calculation (PBE) on a relaxed DyYTlSe crystal.

Cell: 3.8906 3.8906 8.5669 Å, 103.06 103.06 60.04°
Last column: nearest neighbours and their distance in Å.
Positions (direct):
1 Dy 0.0000 0.0000 0.0000  3 Se 2.86
2 Y 0.1925 0.1925 0.5775  3 Se 2.83
3 Tl 0.7632 0.7632 0.2887  3 Dy 3.27-3.28, 3 Y 3.28
4 Se 0.5954 0.5954 0.7862  3 Y 2.83, 3 Dy 2.86

Uncorrected formation energy (eV per atom): -1.02



5.
VASP calculation (PBE) on a relaxed CoIr2Se crystal.

Cell: 3.9087 3.9087 3.7095 Å, 90.00 90.00 90.00°
Last column: nearest neighbours and their distance in Å.
Positions (direct):
1 Co 0.0000 0.0000 0.0000  8 Ir 2.69, 4 Se 2.76
2 Ir 0.0000 0.5000 0.5000  4 Se 2.69, 4 Co 2.69, 4 Ir 2.76
3 Ir 0.5000 0.0000 0.5000  4 Se 2.69, 4 Co 2.69, 4 Ir 2.76
4 Se 0.5000 0.5000 0.0000  8 Ir 2.69, 4 Co 2.76

Uncorrected formation energy (eV per atom): 0.49



6.
VASP calculation (PBE) on a relaxed PrAgBiRh crystal.

Cell: 5.0355 5.0355 5.0355 Å, 60.00 60.00 60.00°
Last column: nearest neighbours and their distance in Å.
Positions (direct):
1 Pr 0.0000 0.0000 0.0000  4 Rh 3.08, 4 Ag 3.08
2 Ag 0.7500 0.7500 0.7500  4 Pr 3.08, 4 Bi 3.08
3 Bi 0.5000 0.5000 0.5000  4 Rh 3.08, 4 Ag 3.08
4 Rh 0.2500 0.2500 0.2500  4 Bi 3.08, 4 Pr 3.08

Calculated formation energy (eV per formula unit): -1.42